1.
Computed, not measured: an optimized crystal structure of GdPaIn at the PBE level of DFT.

The value obtained for the calculated formation energy is 0.121 eV/atom. As for the crystal system: tetragonal. Its symmetry is No. 107. The calculation puts the calculated volume at 27.1 Å³/atom. As for the excess energy over the best structure of this formula in the dataset: 0.0 meV per atom.

Cell: 4.022 4.022 5.770 Å, 110.40 110.40 90.00°
Site moments in Bohr magnetons follow the coordinates.
Fractional positions:
Gd 0.941 0.941 0.882  -7.08
In 0.285 0.285 0.570  0.03
Pa 0.624 0.624 0.247  0.36

=====

2.
Computed, not measured: an optimized crystal structure of GdPaIn at the PBE level of DFT.

The value obtained for the calculated formation energy is 0.143 eV/atom. As for the crystal system: hexagonal. Its symmetry is No. 187. The calculation puts the calculated volume at 25.4 Å³/atom. As for the excess energy over the best structure of this formula in the dataset: 22.3 meV per atom.

Cell: 3.089 5.333 5.333 Å, 120.00 90.00 90.00°
Site moments in Bohr magnetons follow the coordinates.
Fractional positions:
Gd 0.500 0.333 0.667  7.14
In 0.000 0.000 0.000  -0.03
Pa 0.500 0.667 0.333  -0.44

=====

3.
Computed, not measured: an optimized crystal structure of GdPaIn2 at the PBE level of DFT.

The value obtained for the calculated formation energy is -0.155 eV/atom. As for the crystal system: tetragonal. Its symmetry is No. 123. The calculation puts the calculated volume at 26.6 Å³/atom.

Cell: 4.573 4.820 4.820 Å, 90.00 90.00 90.00°
Site moments in Bohr magnetons follow the coordinates.
Fractional positions:
In 0.000 0.000 0.500  -0.01
In 0.000 0.500 0.000  -0.01
Pa 0.500 0.500 0.500  1.03
Gd 0.500 0.000 0.000  7.32

=====

4.
Computed, not measured: an optimized crystal structure of PmGdPaIn at the PBE level of DFT.

The value obtained for the calculated formation energy is 0.123 eV/atom. As for the crystal system: cubic. Its symmetry is No. 216. The calculation puts the calculated volume at 27.8 Å³/atom.

Cell: 5.399 5.399 5.399 Å, 60.00 60.00 60.00°
Site moments in Bohr magnetons follow the coordinates.
Fractional positions:
Pa 0.750 0.750 0.750  0.24
Gd 0.000 0.000 0.000  7.19
Pm 0.500 0.500 0.500  -0.02
In 0.250 0.250 0.250  -0.02

=====

Q: Which value of calculated formation energy does entry 1 give?
A: 0.121 eV/atom